AlSiTc | OQMD via LeMat-Bulk | PBE | optimized geometry; total magnetization = 0.00 μB per formula unit; space group = No. 129; uncorrected energy = -21.45 eV/f.u.; polymorph energy (0 for the lowest one) = 0.00 eV/f.u.
1.0
-0.7772 2.0131 -2.3222
1.2060 -2.0034 -2.1404
-7.2662 -3.6198 -0.7061
Al Si Tc
2 2 2
direct
0.0000 0.5000 0.4084 Al
0.5000 0.0000 0.5916 Al
0.5000 0.0000 0.9155 Si
0.0000 0.5000 0.0845 Si
0.0000 0.5000 0.7697 Tc
0.5000 0.0000 0.2303 Tc